Here is a geometry-optimized VBCl2 structure from the Alexandria database. Energies are from PBE.

```
data_VBCl2
_chemical_formula_sum 'V2 B2 Cl4'
_cell_length_a 6.5832
_cell_length_b 6.5832
_cell_length_c 6.5832
_cell_angle_alpha 96.19
_cell_angle_beta 96.19
_cell_angle_gamma 141.67
_space_group_name_H-M_alt 'P 1'
_space_group_IT_number 1
loop_
_space_group_symop_operation_xyz
'x,y,z'
loop_
_atom_site_label
_atom_site_fract_x
_atom_site_fract_y
_atom_site_fract_z
V1 0.0000 0.0000 0.0000
V2 0.7500 0.2500 0.5000
B1 0.2500 0.7500 0.5000
B2 0.5000 0.5000 0.0000
Cl1 0.3750 0.0360 0.1610
Cl2 0.7860 0.6250 0.6610
Cl3 0.8750 0.2140 0.8390
Cl4 0.9640 0.1250 0.3390
```

The calculated volume comes out at 20.9 A^3/atom. As for the energy above the most stable polymorph in this dataset: 0 meV per atom. The value obtained for the raw formation energy is 0.186 eV per atom. The calculation puts the total energy at -0.344 Ry per atom. As for the symmetry: I-42d, No. 122.

---

Here is a geometry-optimized VBCl2 structure from the Alexandria database. Energies are from PBE.

```
data_VBCl2
_chemical_formula_sum 'V1 B1 Cl2'
_cell_length_a 7.9182
_cell_length_b 7.9182
_cell_length_c 7.9182
_cell_angle_alpha 25.04
_cell_angle_beta 25.04
_cell_angle_gamma 25.04
_space_group_name_H-M_alt 'P 1'
_space_group_IT_number 1
loop_
_space_group_symop_operation_xyz
'x,y,z'
loop_
_atom_site_label
_atom_site_fract_x
_atom_site_fract_y
_atom_site_fract_z
V1 0.0000 0.0000 0.0000
B1 0.5000 0.5000 0.5000
Cl1 0.1004 0.1004 0.1004
Cl2 0.8996 0.8996 0.8996
```

The calculated volume comes out at 19.6 A^3/atom. As for the energy above the most stable polymorph in this dataset: 682 meV per atom. The value obtained for the raw formation energy is 0.868 eV per atom. The calculation puts the total energy at -0.294 Ry per atom. As for the symmetry: R-3m, No. 166.

---

Here is a geometry-optimized VB2Cl structure from the Alexandria database. Energies are from PBE.

```
data_VB2Cl
_chemical_formula_sum 'V2 B4 Cl2'
_cell_length_a 5.2378
_cell_length_b 5.2378
_cell_length_c 5.2378
_cell_angle_alpha 119.68
_cell_angle_beta 119.68
_cell_angle_gamma 90.55
_space_group_name_H-M_alt 'P 1'
_space_group_IT_number 1
loop_
_space_group_symop_operation_xyz
'x,y,z'
loop_
_atom_site_label
_atom_site_fract_x
_atom_site_fract_y
_atom_site_fract_z
V1 0.0000 0.0000 0.0000
V2 0.7500 0.2500 0.5000
B1 0.1436 0.6250 0.0186
B2 0.3750 0.3936 0.5186
B3 0.6064 0.1250 0.9814
B4 0.8750 0.8564 0.4814
Cl1 0.2500 0.7500 0.5000
Cl2 0.5000 0.5000 0.0000
```

The calculated volume comes out at 12.8 A^3/atom. As for the energy above the most stable polymorph in this dataset: 0 meV per atom. The value obtained for the raw formation energy is 1.306 eV per atom. The calculation puts the total energy at -0.351 Ry per atom. As for the symmetry: I-42d, No. 122.

---

Here is a geometry-optimized V3BCl structure from the Alexandria database. Energies are from PBE.

```
data_V3BCl
_chemical_formula_sum 'V3 B1 Cl1'
_cell_length_a 4.1331
_cell_length_b 4.1331
_cell_length_c 4.1331
_cell_angle_alpha 90.00
_cell_angle_beta 90.00
_cell_angle_gamma 90.00
_space_group_name_H-M_alt 'P 1'
_space_group_IT_number 1
loop_
_space_group_symop_operation_xyz
'x,y,z'
loop_
_atom_site_label
_atom_site_fract_x
_atom_site_fract_y
_atom_site_fract_z
V1 0.0000 0.0000 0.5000
V2 0.0000 0.5000 0.0000
V3 0.5000 0.0000 0.0000
B1 0.0000 0.0000 0.0000
Cl1 0.5000 0.5000 0.5000
```

The calculated volume comes out at 14.1 A^3/atom. As for the energy above the most stable polymorph in this dataset: 0 meV per atom. The value obtained for the raw formation energy is 0.574 eV per atom. The calculation puts the total energy at -0.485 Ry per atom. As for the symmetry: Pm-3m, No. 221.

---

Here is a geometry-optimized VBCl2 structure from the Alexandria database. Energies are from PBE.

```
data_VBCl2
_chemical_formula_sum 'V1 B1 Cl2'
_cell_length_a 8.7746
_cell_length_b 8.7746
_cell_length_c 8.7746
_cell_angle_alpha 20.19
_cell_angle_beta 20.19
_cell_angle_gamma 20.19
_space_group_name_H-M_alt 'P 1'
_space_group_IT_number 1
loop_
_space_group_symop_operation_xyz
'x,y,z'
loop_
_atom_site_label
_atom_site_fract_x
_atom_site_fract_y
_atom_site_fract_z
V1 0.0000 0.0000 0.0000
B1 0.5000 0.5000 0.5000
Cl1 0.3954 0.3954 0.3954
Cl2 0.6046 0.6046 0.6046
```

The calculated volume comes out at 17.6 A^3/atom. As for the energy above the most stable polymorph in this dataset: 330 meV per atom. The value obtained for the raw formation energy is 0.516 eV per atom. The calculation puts the total energy at -0.320 Ry per atom. As for the symmetry: R-3m, No. 166.

---

Here is a geometry-optimized VBCl3 structure from the Alexandria database. Energies are from PBE.

```
data_VBCl3
_chemical_formula_sum 'V1 B1 Cl3'
_cell_length_a 4.4487
_cell_length_b 4.4487
_cell_length_c 4.4487
_cell_angle_alpha 90.00
_cell_angle_beta 90.00
_cell_angle_gamma 90.00
_space_group_name_H-M_alt 'P 1'
_space_group_IT_number 1
loop_
_space_group_symop_operation_xyz
'x,y,z'
loop_
_atom_site_label
_atom_site_fract_x
_atom_site_fract_y
_atom_site_fract_z
V1 0.0000 0.0000 0.0000
B1 0.5000 0.5000 0.5000
Cl1 0.0000 0.5000 0.5000
Cl2 0.5000 0.0000 0.5000
Cl3 0.5000 0.5000 0.0000
```

The calculated volume comes out at 17.6 A^3/atom. The value obtained for the raw formation energy is 0.486 eV per atom. The calculation puts the total energy at -0.278 Ry per atom. As for the symmetry: Pm-3m, No. 221.

---

Here is a geometry-optimized VBCl2 structure from the Alexandria database. Energies are from PBE.

```
data_VBCl2
_chemical_formula_sum 'V1 B1 Cl2'
_cell_length_a 4.5331
_cell_length_b 4.5331
_cell_length_c 4.5331
_cell_angle_alpha 60.00
_cell_angle_beta 60.00
_cell_angle_gamma 60.00
_space_group_name_H-M_alt 'P 1'
_space_group_IT_number 1
loop_
_space_group_symop_operation_xyz
'x,y,z'
loop_
_atom_site_label
_atom_site_fract_x
_atom_site_fract_y
_atom_site_fract_z
V1 0.0000 0.0000 0.0000
B1 0.5000 0.5000 0.5000
Cl1 0.2500 0.2500 0.2500
Cl2 0.7500 0.7500 0.7500
```

The calculated volume comes out at 16.5 A^3/atom. As for the energy above the most stable polymorph in this dataset: 650 meV per atom. The value obtained for the raw formation energy is 0.836 eV per atom. The calculation puts the total energy at -0.297 Ry per atom. As for the symmetry: Fm-3m, No. 225.

---

Here is a geometry-optimized VB2Cl structure from the Alexandria database. Energies are from PBE.

```
data_VB2Cl
_chemical_formula_sum 'V1 B2 Cl1'
_cell_length_a 3.9985
_cell_length_b 3.9985
_cell_length_c 3.9985
_cell_angle_alpha 60.00
_cell_angle_beta 60.00
_cell_angle_gamma 60.00
_space_group_name_H-M_alt 'P 1'
_space_group_IT_number 1
loop_
_space_group_symop_operation_xyz
'x,y,z'
loop_
_atom_site_label
_atom_site_fract_x
_atom_site_fract_y
_atom_site_fract_z
V1 0.0000 0.0000 0.0000
B1 0.2500 0.2500 0.2500
B2 0.7500 0.7500 0.7500
Cl1 0.5000 0.5000 0.5000
```

The calculated volume comes out at 11.3 A^3/atom. As for the energy above the most stable polymorph in this dataset: 515 meV per atom. The value obtained for the raw formation energy is 1.821 eV per atom. The calculation puts the total energy at -0.313 Ry per atom. As for the symmetry: Fm-3m, No. 225.

---

Here is a geometry-optimized ZrVB2Cl structure from the Alexandria database. Energies are from PBE.

```
data_ZrVB2Cl
_chemical_formula_sum 'Zr1 V1 B2 Cl1'
_cell_length_a 4.2047
_cell_length_b 4.2047
_cell_length_c 4.0772
_cell_angle_alpha 90.00
_cell_angle_beta 90.00
_cell_angle_gamma 90.00
_space_group_name_H-M_alt 'P 1'
_space_group_IT_number 1
loop_
_space_group_symop_operation_xyz
'x,y,z'
loop_
_atom_site_label
_atom_site_fract_x
_atom_site_fract_y
_atom_site_fract_z
Zr1 0.0000 0.0000 0.0000
V1 0.5000 0.5000 0.0000
B1 0.0000 0.5000 0.5000
B2 0.5000 0.0000 0.5000
Cl1 0.5000 0.5000 0.5000
```

The calculated volume comes out at 14.4 A^3/atom. The value obtained for the raw formation energy is 1.381 eV per atom. The calculation puts the total energy at -0.382 Ry per atom. As for the symmetry: P4/mmm, No. 123.

---

Here is a geometry-optimized BW3Cl structure from the Alexandria database. Energies are from PBE.

```
data_BW3Cl
_chemical_formula_sum 'B1 W3 Cl1'
_cell_length_a 4.2728
_cell_length_b 4.2728
_cell_length_c 4.2728
_cell_angle_alpha 90.00
_cell_angle_beta 90.00
_cell_angle_gamma 90.00
_space_group_name_H-M_alt 'P 1'
_space_group_IT_number 1
loop_
_space_group_symop_operation_xyz
'x,y,z'
loop_
_atom_site_label
_atom_site_fract_x
_atom_site_fract_y
_atom_site_fract_z
B1 0.0000 0.0000 0.0000
W1 0.0000 0.0000 0.5000
W2 0.0000 0.5000 0.0000
W3 0.5000 0.0000 0.0000
Cl1 0.5000 0.5000 0.5000
```

The calculated volume comes out at 15.6 A^3/atom. As for the energy above the most stable polymorph in this dataset: 0 meV per atom. The value obtained for the raw formation energy is 1.218 eV per atom. The calculation puts the total energy at -0.607 Ry per atom. As for the symmetry: Pm-3m, No. 221.

---

Here is a geometry-optimized YBW2Cl structure from the Alexandria database. Energies are from PBE.

```
data_YBW2Cl
_chemical_formula_sum 'Y1 B1 W2 Cl1'
_cell_length_a 4.1083
_cell_length_b 4.1083
_cell_length_c 5.8562
_cell_angle_alpha 90.00
_cell_angle_beta 90.00
_cell_angle_gamma 90.00
_space_group_name_H-M_alt 'P 1'
_space_group_IT_number 1
loop_
_space_group_symop_operation_xyz
'x,y,z'
loop_
_atom_site_label
_atom_site_fract_x
_atom_site_fract_y
_atom_site_fract_z
Y1 0.0000 0.0000 0.0000
B1 0.5000 0.5000 0.5000
W1 0.0000 0.5000 0.5000
W2 0.5000 0.0000 0.5000
Cl1 0.5000 0.5000 0.0000
```

The calculated volume comes out at 19.8 A^3/atom. The value obtained for the raw formation energy is 0.622 eV per atom. The calculation puts the total energy at -0.555 Ry per atom. As for the symmetry: P4/mmm, No. 123.

---

Here is a geometry-optimized YBCl3 structure from the Alexandria database. Energies are from PBE.

```
data_YBCl3
_chemical_formula_sum 'Y1 B1 Cl3'
_cell_length_a 4.5567
_cell_length_b 4.5567
_cell_length_c 4.5567
_cell_angle_alpha 90.00
_cell_angle_beta 90.00
_cell_angle_gamma 90.00
_space_group_name_H-M_alt 'P 1'
_space_group_IT_number 1
loop_
_space_group_symop_operation_xyz
'x,y,z'
loop_
_atom_site_label
_atom_site_fract_x
_atom_site_fract_y
_atom_site_fract_z
Y1 0.0000 0.0000 0.0000
B1 0.5000 0.5000 0.5000
Cl1 0.0000 0.5000 0.5000
Cl2 0.5000 0.0000 0.5000
Cl3 0.5000 0.5000 0.0000
```

The calculated volume comes out at 18.9 A^3/atom. As for the energy above the most stable polymorph in this dataset: 403 meV per atom. The value obtained for the raw formation energy is -0.130 eV per atom. The calculation puts the total energy at -0.284 Ry per atom. As for the symmetry: Pm-3m, No. 221.

---

What did the first record say?
Here is a geometry-optimized VBCl2 structure from the Alexandria database. Energies are from PBE.

```
data_VBCl2
_chemical_formula_sum 'V2 B2 Cl4'
_cell_length_a 6.5832
_cell_length_b 6.5832
_cell_length_c 6.5832
_cell_angle_alpha 96.19
_cell_angle_beta 96.19
_cell_angle_gamma 141.67
_space_group_name_H-M_alt 'P 1'
_space_group_IT_number 1
loop_
_space_group_symop_operation_xyz
'x,y,z'
loop_
_atom_site_label
_atom_site_fract_x
_atom_site_fract_y
_atom_site_fract_z
V1 0.0000 0.0000 0.0000
V2 0.7500 0.2500 0.5000
B1 0.2500 0.7500 0.5000
B2 0.5000 0.5000 0.0000
Cl1 0.3750 0.0360 0.1610
Cl2 0.7860 0.6250 0.6610
Cl3 0.8750 0.2140 0.8390
Cl4 0.9640 0.1250 0.3390
```

The calculated volume comes out at 20.9 A^3/atom. As for the energy above the most stable polymorph in this dataset: 0 meV per atom. The value obtained for the raw formation energy is 0.186 eV per atom. The calculation puts the total energy at -0.344 Ry per atom. As for the symmetry: I-42d, No. 122.

---

raw formation energy of number 10 (BW3Cl)? 1.218 eV per atom

---

Among the records above, which one has the lowest raw formation energy? YBCl3